# 1
Zn2Cu5Ni: optimized geometry, PBE.

Structure (CIF):
```
data_Zn2Cu5Ni
_space_group_name_H-M_alt 'P 4/m m m'
_space_group_IT_number 123
_space_group_name_Hall '-P 4 2'
_cell_length_a 4.079
_cell_length_b 4.079
_cell_length_c 5.785
_cell_angle_alpha 90.00
_cell_angle_beta 90.00
_cell_angle_gamma 90.00
loop_
_atom_site_label
_atom_site_type_symbol
_atom_site_fract_x
_atom_site_fract_y
_atom_site_fract_z
Zn1 Zn 0.000 0.000 0.000
Zn2 Zn 0.500 0.500 0.500
Cu1 Cu 0.000 0.000 0.500
Cu2 Cu 0.000 0.500 0.249
Ni1 Ni 0.500 0.500 0.000
```

Computed properties:
- calculated formation energy (meV per atom) = -48
- theoretical density (g/cm³) = 8.8

***

# 2
Zr4CuNi: optimized geometry, PBE.

Structure (CIF):
```
data_Zr4CuNi
_space_group_name_H-M_alt 'A m m 2'
_space_group_IT_number 38
_space_group_name_Hall 'A 2 -2'
_cell_length_a 4.550
_cell_length_b 11.062
_cell_length_c 4.550
_cell_angle_alpha 90.00
_cell_angle_beta 90.00
_cell_angle_gamma 90.00
loop_
_atom_site_label
_atom_site_type_symbol
_atom_site_fract_x
_atom_site_fract_y
_atom_site_fract_z
Zr1 Zr 0.000 0.152 0.000
Zr2 Zr 0.500 0.153 0.501
Cu1 Cu 0.500 0.000 0.003
Ni1 Ni 0.000 0.000 0.497
```

Computed properties:
- calculated formation energy (meV per atom) = -201
- theoretical density (g/cm³) = 7.1

***

# 3
NpCuOs: optimized geometry, PBE.

Structure (CIF):
```
data_NpCuOs
_space_group_name_H-M_alt 'F -4 3 m'
_space_group_IT_number 216
_space_group_name_Hall 'F -4 2 3'
_cell_length_a 6.178
_cell_length_b 6.178
_cell_length_c 6.178
_cell_angle_alpha 90.00
_cell_angle_beta 90.00
_cell_angle_gamma 90.00
loop_
_atom_site_label
_atom_site_type_symbol
_atom_site_fract_x
_atom_site_fract_y
_atom_site_fract_z
Np1 Np 0.000 0.000 0.000
Cu1 Cu 0.000 0.000 0.500
Os1 Os 0.250 0.250 0.750
```

Computed properties:
- calculated formation energy (meV per atom) = 541
- theoretical density (g/cm³) = 13.8

***

# 4
NpPaCu: optimized geometry, PBE.

Structure (CIF):
```
data_NpPaCu
_space_group_name_H-M_alt 'F -4 3 m'
_space_group_IT_number 216
_space_group_name_Hall 'F -4 2 3'
_cell_length_a 6.230
_cell_length_b 6.230
_cell_length_c 6.230
_cell_angle_alpha 90.00
_cell_angle_beta 90.00
_cell_angle_gamma 90.00
loop_
_atom_site_label
_atom_site_type_symbol
_atom_site_fract_x
_atom_site_fract_y
_atom_site_fract_z
Np1 Np 0.000 0.000 0.000
Pa1 Pa 0.250 0.250 0.750
Cu1 Cu 0.000 0.000 0.500
```

Computed properties:
- calculated formation energy (meV per atom) = 657
- theoretical density (g/cm³) = 14.6